# HfVF3 (GGA+U, relaxed)
# E above lowest polymorph = 0 meV/atom
# E = -6.21 eV per atom
# Total moment = 5.61 Bohr magnetons per cell
data_HfVF3
_cell_length_a 4.2895
_cell_length_b 4.2895
_cell_length_c 4.2895
_cell_angle_alpha 90.00
_cell_angle_beta 90.00
_cell_angle_gamma 90.00
_symmetry_space_group_name_H-M 'P m -3 m'
_symmetry_Int_Tables_number 221
_symmetry_space_group_name_Hall '-P 4 2 3'
loop_
_atom_site_label
_atom_site_type_symbol
_atom_site_fract_x
_atom_site_fract_y
_atom_site_fract_z
Hf1 Hf 0.0000 0.0000 0.0000
V1 V 0.5000 0.5000 0.5000
F1 F 0.0000 0.0000 0.5000